Entry 1:
# Pm2PrSe4 (PBE, relaxed)
data_Pm2PrSe4
_cell_length_a 7.244
_cell_length_b 7.244
_cell_length_c 14.138
_cell_angle_alpha 90.00
_cell_angle_beta 90.00
_cell_angle_gamma 147.08
_symmetry_space_group_name_H-M 'P 1'
_symmetry_Int_Tables_number 1
_symmetry_space_group_name_Hall 'P 1'
loop_
_atom_site_label
_atom_site_fract_x
_atom_site_fract_y
_atom_site_fract_z
Pm1 0.130 0.870 0.569
Pm2 0.130 0.870 0.931
Pm3 0.870 0.130 0.069
Pm4 0.870 0.130 0.431
Pr1 0.375 0.625 0.750
Pr2 0.625 0.375 0.250
Se1 0.032 0.968 0.750
Se2 0.224 0.776 0.122
Se3 0.224 0.776 0.378
Se4 0.500 0.500 0.000
Se5 0.500 0.500 0.500
Se6 0.776 0.224 0.622
Se7 0.776 0.224 0.878
Se8 0.968 0.032 0.250
# - E_form (uncorrected) (eV per atom) = -1.869
# - SG = Cmcm, No. 63
# - M_tot (μB per formula unit) = 0.000

=====

Entry 2:
# Pm6Pr2Se3 (PBE, relaxed)
data_Pm6Pr2Se3
_cell_length_a 26.078
_cell_length_b 26.078
_cell_length_c 26.078
_cell_angle_alpha 8.62
_cell_angle_beta 8.62
_cell_angle_gamma 8.62
_symmetry_space_group_name_H-M 'P 1'
_symmetry_Int_Tables_number 1
_symmetry_space_group_name_Hall 'P 1'
loop_
_atom_site_label
_atom_site_fract_x
_atom_site_fract_y
_atom_site_fract_z
Pm1 0.072 0.072 0.072
Pm2 0.185 0.185 0.185
Pm3 0.358 0.358 0.358
Pm4 0.642 0.642 0.642
Pm5 0.815 0.815 0.815
Pm6 0.928 0.928 0.928
Pr1 0.444 0.444 0.444
Pr2 0.556 0.556 0.556
Se1 0.000 0.000 0.000
Se2 0.285 0.285 0.285
Se3 0.715 0.715 0.715
# - E_form (uncorrected) (eV per atom) = -0.924
# - SG = R-3m, No. 166
# - M_tot (μB per formula unit) = 0.005